--- A ---
A plane-wave DFT calculation with PBE-GGA was carried out for an optimized crystal structure of Ce2AlMo.

The structure in POSCAR format:
```
Ce2AlMo
1.0
1.452 0.838 11.837
-1.452 0.838 11.837
0.000 -1.676 11.837
Ce Al Mo
2 1 1
Direct
0.089 0.089 0.089 Ce
0.911 0.911 0.911 Ce
0.000 0.000 0.000 Al
0.500 0.500 0.500 Mo
```

* magnetic moment: 0.00 μB/cell
* SG: R-3m

---

--- B ---
A plane-wave DFT calculation with PBE-GGA was carried out for an optimized crystal structure of Ce2AlMo.

The structure in POSCAR format:
```
Ce2AlMo
1.0
4.316 0.000 0.000
0.000 4.316 0.000
0.000 0.000 4.543
Ce Al Mo
2 1 1
Direct
0.000 0.500 0.000 Ce
0.500 0.000 0.000 Ce
0.000 0.000 0.500 Al
0.500 0.500 0.500 Mo
```

* magnetic moment: 0.03 μB/cell
* SG: P4/mmm

---

Energies, relative to the best one, in meV/atom: A 363; B 0.

---

--- A ---
A plane-wave DFT calculation with PBE-GGA was carried out for an optimized crystal structure of CeNbAl2.

The structure in POSCAR format:
```
CeNbAl2
1.0
3.545 0.000 0.000
0.000 3.545 0.000
0.000 0.000 6.528
Ce Nb Al
1 1 2
Direct
0.000 0.000 0.000 Ce
0.000 0.000 0.500 Nb
0.500 0.500 0.302 Al
0.500 0.500 0.698 Al
```

* magnetic moment: 0.92 μB/cell
* SG: P4/mmm

---

--- B ---
A plane-wave DFT calculation with PBE-GGA was carried out for an optimized crystal structure of CeNbAl2.

The structure in POSCAR format:
```
CeNbAl2
1.0
1.498 0.865 10.141
-1.498 0.865 10.141
0.000 -1.730 10.141
Ce Nb Al
1 1 2
Direct
0.000 0.000 0.000 Ce
0.500 0.500 0.500 Nb
0.242 0.242 0.242 Al
0.758 0.758 0.758 Al
```

* magnetic moment: 0.00 μB/cell
* SG: R-3m

---

Energies, relative to the best one, in meV/atom: A 0; B 70.

---

--- A ---
A plane-wave DFT calculation with PBE-GGA was carried out for an optimized crystal structure of CeNbAl.

The structure in POSCAR format:
```
CeNbAl
1.0
4.980 0.000 0.000
-2.490 4.313 0.000
0.000 0.000 2.966
Ce Nb Al
1 1 1
Direct
0.000 0.000 0.000 Ce
0.667 0.333 0.504 Nb
0.333 0.667 0.496 Al
```

* magnetic moment: 0.00 μB/cell
* SG: P3m1

---

--- B ---
A plane-wave DFT calculation with PBE-GGA was carried out for an optimized crystal structure of CeNbAl.

The structure in POSCAR format:
```
CeNbAl
1.0
-1.474 1.474 7.036
1.474 -1.474 7.036
1.474 1.474 -7.036
Ce Nb Al
1 1 1
Direct
0.000 0.000 0.000 Ce
0.685 0.685 0.000 Nb
0.324 0.324 0.000 Al
```

* magnetic moment: 0.00 μB/cell
* SG: I4mm

---

Energies, relative to the best one, in meV/atom: A 191; B 0.